Record 1
# NdGa2Co3

A relaxed structure of NdGa2Co3 (GGA-PBE, the Alexandria database).

calculated formation energy: -0.296 eV per atom
total magnetic moment: 8.1 μB/cell
space-group type: P6/mmm, No. 191
energy: -5.65 eV per atom

Lattice parameters (Å, degrees): 8.979 8.979 4.008 90.00 90.00 120.00
Atoms (fractional coordinates):
Nd: 0.333 0.667 0.000
Nd: 0.000 0.000 0.000
Nd: 0.667 0.333 0.000
Ga: 0.173 0.827 0.500
Ga: 0.173 0.346 0.500
Ga: 0.654 0.827 0.500
Ga: 0.827 0.173 0.500
Ga: 0.346 0.173 0.500
Ga: 0.827 0.654 0.500
Co: 0.347 0.000 0.000
Co: 0.000 0.347 0.000
Co: 0.653 0.653 0.000
Co: 0.000 0.653 0.000
Co: 0.347 0.347 0.000
Co: 0.653 0.000 0.000
Co: 0.500 0.500 0.500
Co: 0.500 0.000 0.500
Co: 0.000 0.500 0.500

Record 2
# Mg4Pt3Au

A relaxed structure of Mg4Pt3Au (GGA-PBE, the Alexandria database).

calculated formation energy: -0.784 eV per atom
total magnetic moment: 0.0 μB/cell
space-group type: R-3m, No. 166
energy: -4.26 eV per atom

Lattice parameters (Å, degrees): 4.534 4.534 7.831 73.17 73.17 60.00
Atoms (fractional coordinates):
Mg: 0.873 0.873 0.380
Mg: 0.377 0.377 0.869
Mg: 0.127 0.127 0.620
Mg: 0.623 0.623 0.131
Au: 0.000 0.000 0.000
Pt: 0.250 0.250 0.250
Pt: 0.750 0.750 0.750
Pt: 0.500 0.500 0.500

Record 3
# PrGd2In

A relaxed structure of PrGd2In (GGA-PBE, the Alexandria database).

calculated formation energy: -0.291 eV per atom
total magnetic moment: 15.3 μB/cell
space-group type: P4/mmm, No. 123
energy: -9.21 eV per atom

Lattice parameters (Å, degrees): 4.939 4.932 4.932 90.00 90.00 90.00
Atoms (fractional coordinates):
Pr: 0.500 0.500 0.500
Gd: 0.000 0.000 0.500
Gd: 0.000 0.500 0.000
In: 0.500 0.000 0.000

Record 4
# TaZn2Rh

A relaxed structure of TaZn2Rh (GGA-PBE, the Alexandria database).

calculated formation energy: -0.139 eV per atom
total magnetic moment: 0.0 μB/cell
space-group type: P4/mmm, No. 123
energy: -5.58 eV per atom

Lattice parameters (Å, degrees): 2.999 2.999 6.646 90.00 90.00 90.01
Atoms (fractional coordinates):
Rh: 0.500 0.500 0.250
Ta: 0.500 0.500 0.750
Zn: 0.000 0.000 0.027
Zn: 0.000 0.000 0.473

Record 5
# SO2

A relaxed structure of SO2 (GGA-PBE, the Alexandria database).

total magnetic moment: 0.0 μB/cell
space-group type: Pc, No. 7
energy: -5.74 eV per atom
E_form (uncorrected): -1056 meV per atom

Lattice parameters (Å, degrees): 4.419 6.338 4.500 90.00 94.10 90.00
Atoms (fractional coordinates):
S: 0.609 0.753 0.966
S: 0.109 0.247 0.466
O: 0.876 0.618 0.995
O: 0.376 0.382 0.495
O: 0.570 0.884 0.701
O: 0.070 0.116 0.201

Record 6
# Cs2TiPdS4

A relaxed structure of Cs2TiPdS4 (GGA-PBE, the Alexandria database).

total magnetic moment: 3.5 μB/cell
space-group type: Fddd, No. 70
energy: -4.96 eV per atom
E_form (uncorrected): -1049 meV per atom

Lattice parameters (Å, degrees): 5.902 7.641 13.005 84.97 76.89 67.28
Atoms (fractional coordinates):
Cs: 0.177 0.000 0.646
Cs: 0.823 0.000 0.354
Cs: 0.573 0.500 0.854
Cs: 0.927 0.500 0.146
Ti: 0.750 0.500 0.500
Ti: 0.000 0.000 0.000
Pd: 0.250 0.500 0.500
Pd: 0.500 0.000 0.000
S: 0.275 0.816 0.100
S: 0.191 0.184 0.900
S: 0.909 0.816 0.900
S: 0.625 0.184 0.100
S: 0.475 0.684 0.400
S: 0.559 0.316 0.600
S: 0.841 0.684 0.600
S: 0.125 0.316 0.400

Record 7
# SrErSc

A relaxed structure of SrErSc (GGA-PBE, the Alexandria database).

calculated formation energy: 0.340 eV per atom
total magnetic moment: 2.0 μB/cell
space-group type: C2/m, No. 12
energy: -3.85 eV per atom

Lattice parameters (Å, degrees): 5.767 5.767 6.910 89.47 89.47 60.52
Atoms (fractional coordinates):
Sr: 0.877 0.877 0.898
Sr: 0.876 0.876 0.409
Er: 0.542 0.542 0.250
Er: 0.211 0.211 0.057
Sc: 0.211 0.211 0.562
Sc: 0.542 0.542 0.746

Record 8
# Li4CuP2O8

A relaxed structure of Li4CuP2O8 (GGA-PBE, the Alexandria database).

total magnetic moment: 2.0 μB/cell
space-group type: P1, No. 1
energy: -6.23 eV per atom
E_form (uncorrected): -2084 meV per atom

Lattice parameters (Å, degrees): 5.212 6.501 9.874 89.91 89.72 90.28
Atoms (fractional coordinates):
P: 0.828 0.004 0.496
P: 0.186 0.496 0.250
P: 0.181 0.494 0.750
P: 0.814 0.007 0.994
O: 0.103 0.003 0.031
O: 0.322 0.695 0.801
O: 0.113 0.003 0.530
O: 0.186 0.500 0.090
O: 0.318 0.694 0.303
O: 0.895 0.497 0.298
O: 0.693 0.206 0.053
O: 0.321 0.305 0.302
O: 0.683 0.806 0.062
O: 0.766 0.992 0.843
O: 0.791 0.012 0.337
O: 0.194 0.500 0.592
O: 0.323 0.308 0.808
O: 0.694 0.200 0.552
O: 0.894 0.498 0.797
O: 0.695 0.800 0.545
Cu: 0.311 0.763 0.991
Cu: 0.689 0.754 0.266
Li: 0.319 0.762 0.507
Li: 0.670 0.241 0.750
Li: 0.324 0.243 0.999
Li: 0.671 0.250 0.249
Li: 0.327 0.240 0.501
Li: 0.841 0.486 0.996
Li: 0.685 0.750 0.744
Li: 0.846 0.493 0.510